DFT (PBE) results for an optimized crystal structure of Al4Fe2Si3.

POSCAR file:
```
Al4Fe2Si3
1.0
1.857 -6.537 0.000
1.857 6.537 0.000
0.000 0.000 11.190
Al Fe Si
8 4 6
direct
0.089 0.911 0.750
0.183 0.817 0.060
0.183 0.817 0.440
0.282 0.718 0.750
0.718 0.282 0.250
0.817 0.183 0.560
0.817 0.183 0.940
0.911 0.089 0.250
0.452 0.548 0.626
0.452 0.548 0.874
0.548 0.452 0.126
0.548 0.452 0.374
0.090 0.910 0.250
0.379 0.621 0.070
0.379 0.621 0.430
0.621 0.379 0.570
0.621 0.379 0.930
0.910 0.090 0.750
```

## Properties
The final energy comes out at -47.99 eV/f.u. As for the crystal system: orthorhombic. For the magnetization, the calculation gives 0.0 μB/cell. Its calculated density is 3.7 g cm⁻³.

DFT (PBE) results for an optimized crystal structure of Al2FeSi.

POSCAR file:
```
Al2FeSi
1.0
3.203 0.000 0.000
0.000 3.203 0.000
0.000 0.000 5.157
Al Fe Si
2 1 1
direct
0.000 0.000 0.241
0.000 0.000 0.759
0.500 0.500 0.000
0.500 0.500 0.500
```

## Properties
The final energy comes out at -21.89 eV/f.u. As for the crystal system: tetragonal. For the magnetization, the calculation gives 0.8 μB/cell. Its calculated density is 4.3 g cm⁻³.

DFT (PBE) results for an optimized crystal structure of Al2FeSi.

POSCAR file:
```
Al2FeSi
1.0
-1.845 1.845 3.794
1.845 -1.845 3.794
1.845 1.845 -3.794
Al Fe Si
2 1 1
direct
0.250 0.750 0.500
0.750 0.250 0.500
0.000 0.000 0.000
0.500 0.500 0.000
```

## Properties
The final energy comes out at -21.74 eV/f.u. As for the crystal system: tetragonal. For the magnetization, the calculation gives 0.0 μB/cell. Its calculated density is 4.4 g cm⁻³.

Question: Among the records above, which one has the highest magnetization?
Answer: number 2

Question: The lowest calculated density belongs to which entry?
Answer: Al4Fe2Si3

Repeat the third record exactly.
DFT (PBE) results for an optimized crystal structure of Al2FeSi.

POSCAR file:
```
Al2FeSi
1.0
-1.845 1.845 3.794
1.845 -1.845 3.794
1.845 1.845 -3.794
Al Fe Si
2 1 1
direct
0.250 0.750 0.500
0.750 0.250 0.500
0.000 0.000 0.000
0.500 0.500 0.000
```

## Properties
The final energy comes out at -21.74 eV/f.u. As for the crystal system: tetragonal. For the magnetization, the calculation gives 0.0 μB/cell. Its calculated density is 4.4 g cm⁻³.